Entry 1:
A plane-wave DFT calculation with PBE-GGA was carried out for a relaxed structure of TaP3Pd.

abc: 4.766 4.766 4.766
angles: 90.00 90.00 90.00
Atoms (fractional coordinates):
P (0.000, 0.500, 0.000)
P (0.000, 0.000, 0.500)
P (0.500, 0.000, 0.000)
Pd (0.500, 0.500, 0.500)
Ta (0.000, 0.000, 0.000)

Computed properties:
ΔE to the lowest computed polymorph = 0.000 eV/f.u.
space group = Pm-3m (221)
calculated formation energy = 0.552 eV/atom

***

Entry 2:
A plane-wave DFT calculation with PBE-GGA was carried out for a relaxed structure of LaY4Zn.

abc: 3.612 3.612 13.868
angles: 90.00 90.00 90.00
Atoms (fractional coordinates):
La (0.000, 0.000, 0.000)
Y (0.500, 0.500, 0.188)
Y (0.000, 0.000, 0.626)
Y (0.000, 0.000, 0.374)
Y (0.500, 0.500, 0.812)
Zn (0.500, 0.500, 0.500)

Computed properties:
ΔE to the lowest computed polymorph = 0.000 eV/f.u.
space group = P4/mmm (123)
calculated formation energy = -0.100 eV/atom